VASP calculation (PBE) on Ba5Tl after structural relaxation.

```
Ba5Tl
1.0
5.279 3.849 3.504
-5.725 3.541 -3.106
-3.322 -0.499 5.554
Ba Tl
5 1
direct
0.667 0.333 0.500
0.300 0.300 0.000
0.700 0.000 0.000
0.333 0.667 0.500
0.000 0.700 0.000
0.000 0.000 0.500
```

Summary:
energy above the most stable polymorph in this dataset = 107 meV/atom
Fermi-level density of states = 7.81 states/eV per cell
formation enthalpy at 0 K = -17 kJ/mol of formula units
volume = 51.49 Å³ per atom
total magnetic moment = 0.00 μB per atom
space group = P-62m

VASP calculation (PBE) on Ba4Tl3 after structural relaxation.

```
Ba4Tl3
1.0
-4.869 -1.235 -5.551
-2.692 -6.175 7.100
-1.199 9.432 2.319
Ba Tl
8 6
direct
0.222 0.849 0.313
0.909 0.687 0.537
0.373 0.463 0.151
0.500 0.000 0.000
0.091 0.313 0.463
0.000 0.000 0.000
0.627 0.537 0.849
0.778 0.151 0.687
0.150 0.605 0.875
0.275 0.125 0.730
0.455 0.730 0.605
0.725 0.875 0.270
0.545 0.270 0.395
0.850 0.395 0.125
```

Summary:
energy above the most stable polymorph in this dataset = 3 meV/atom
Fermi-level density of states = 12.60 states/eV per cell
formation enthalpy at 0 K = -222 kJ/mol of formula units
volume = 41.48 Å³ per atom
total magnetic moment = 0.00 μB per atom
space group = R-3

VASP calculation (PBE) on Ba3Tl2 after structural relaxation.

```
Ba3Tl2
1.0
-8.509 -11.816 1.120
-6.138 -12.340 4.829
-9.734 -9.749 4.845
Ba Tl
3 2
direct
0.000 0.000 0.000
0.787 0.787 0.787
0.213 0.213 0.213
0.395 0.395 0.395
0.605 0.605 0.605
```

Summary:
energy above the most stable polymorph in this dataset = 153 meV/atom
Fermi-level density of states = 6.85 states/eV per cell
formation enthalpy at 0 K = -91 kJ/mol of formula units
volume = 48.93 Å³ per atom
total magnetic moment = 0.05 μB per atom
space group = R-3m

VASP calculation (PBE) on BaTl11 after structural relaxation.

```
BaTl11
1.0
3.487 0.000 0.000
0.000 9.750 -5.629
0.000 0.000 11.259
Tl Ba
11 1
direct
0.500 0.650 0.825
0.000 0.333 0.667
0.500 0.825 0.650
0.000 0.000 0.500
0.000 0.500 0.500
0.500 0.350 0.175
0.000 0.500 0.000
0.000 0.667 0.333
0.500 0.825 0.175
0.500 0.175 0.350
0.500 0.175 0.825
0.000 0.000 0.000
```

Summary:
Fermi-level density of states = 9.02 states/eV per cell
formation enthalpy at 0 K = -40 kJ/mol of formula units
volume = 31.90 Å³ per atom
total magnetic moment = 0.00 μB per atom
space group = P6/mmm

VASP calculation (PBE) on BaTl after structural relaxation.

```
BaTl
1.0
-7.516 -2.845 -5.532
6.159 -2.187 -7.243
0.872 -9.072 3.481
Tl Ba
6 6
direct
0.750 0.000 0.500
0.000 0.500 0.750
0.500 0.750 0.000
0.250 0.000 0.500
0.000 0.500 0.250
0.500 0.250 0.000
0.500 0.000 0.250
0.250 0.500 0.000
0.500 0.000 0.750
0.000 0.750 0.500
0.750 0.500 0.000
0.000 0.250 0.500
```

Summary:
Fermi-level density of states = 16.75 states/eV per cell
formation enthalpy at 0 K = 67 kJ/mol of formula units
volume = 77.38 Å³ per atom
total magnetic moment = 0.49 μB per atom
space group = Pm-3n

VASP calculation (PBE) on BaTl4 after structural relaxation.

```
BaTl4
1.0
6.246 -0.017 0.000
-4.085 4.725 0.000
-1.081 -2.354 5.684
Tl Ba
4 1
direct
0.570 0.809 0.379
0.809 0.430 0.239
0.430 0.191 0.621
0.191 0.570 0.761
0.000 0.000 0.000
```

Summary:
Fermi-level density of states = 2.27 states/eV per cell
formation enthalpy at 0 K = -108 kJ/mol of formula units
volume = 33.47 Å³ per atom
total magnetic moment = 0.00 μB per atom
space group = I4/m